No. 1
The following is a PBE calculation of a geometry-optimized CuHgSe2 structure, from the Alexandria database.

ΔE_f (raw)	441	meV/atom
space-group type	P4/mmm

Cell lengths 3.946, 4.528, 4.528 Å; angles 90.00, 90.00, 90.00 degrees
Fractional positions:
Se: 0.000 0.500 0.500
Se: 0.000 0.000 0.000
Cu: 0.500 0.500 0.000
Hg: 0.500 0.000 0.500



No. 2
The following is a PBE calculation of a geometry-optimized LiLaRe structure, from the Alexandria database.

space-group type	I4mm
formation enthalpy at 0 K	60.7	kJ per mole of atoms

Cell lengths 7.941, 7.941, 7.941 Å; angles 159.58, 159.58, 29.03 degrees
Fractional positions:
Li: 0.310 0.310 0.000
La: 0.011 0.011 0.000
Re: 0.679 0.679 0.000



No. 3
The following is a PBE calculation of a geometry-optimized Ho3GaBi structure, from the Alexandria database.

space-group type	C2/c
formation enthalpy at 0 K	-44.3	kJ per mole of atoms

Cell lengths 6.779, 9.265, 9.265 Å; angles 92.87, 97.08, 97.08 degrees
Fractional positions:
Ho: 0.096 0.098 0.245
Ho: 0.446 0.559 0.255
Ho: 0.404 0.755 0.902
Ho: 0.136 0.325 0.940
Ho: 0.364 0.060 0.675
Ho: 0.596 0.245 0.098
Ho: 0.946 0.255 0.559
Ho: 0.554 0.441 0.745
Ho: 0.636 0.940 0.325
Ho: 0.864 0.675 0.060
Ho: 0.054 0.745 0.441
Ho: 0.904 0.902 0.755
Bi: 0.486 0.264 0.431
Bi: 0.014 0.569 0.736
Bi: 0.986 0.431 0.264
Bi: 0.514 0.736 0.569
Ga: 0.250 0.821 0.179
Ga: 0.750 0.179 0.821
Ga: 0.750 0.978 0.022
Ga: 0.250 0.022 0.978



No. 4
The following is a PBE calculation of a geometry-optimized MgGaGe2 structure, from the Alexandria database.

space-group type	P4/mmm
formation enthalpy at 0 K	4.4	kJ per mole of atoms

Cell lengths 3.592, 3.592, 5.997 Å; angles 90.00, 90.00, 90.00 degrees
Fractional positions:
Ga: 0.500 0.500 0.500
Ge: 0.000 0.000 0.723
Ge: 0.000 0.000 0.277
Mg: 0.500 0.500 0.000